Record 1
Compound: NaY2Au2
Source: Alexandria
Functional: PBE
Structure: relaxed

Formation energy from the elements   -0.63 eV per atom
Relative energy among the computed polymorphs   0 meV/atom
Calculated total energy   -4.7913 eV per atom

a b c (Å): 8.2250 8.2250 3.7128
angles (deg): 90.00 90.00 90.00
Closest atoms and distances in Å follow each position.
Space group P4/mbm (No. 127)
Symmetry-distinct sites (fractional):
Na 0.0000 0.0000 0.0000 x2  4 Au 3.19
Y 0.1572 0.3428 0.5000 x4  6 Au 3.04-3.05
Au 0.1364 0.6364 0.0000 x4  6 Y 3.04-3.05, 1 Au 3.17, 2 Na 3.19

***

Record 2
Compound: Li2MgMoH6
Source: Alexandria
Functional: PBE
Structure: relaxed

Calculated total energy   -3.6895 eV per atom

a b c (Å): 6.9194 4.8401 5.1077
angles (deg): 90.00 118.01 90.00
Closest atoms and distances in Å follow each position.
Space group C2/m (No. 12)
Symmetry-distinct sites (fractional):
Li 0.2296 0.0000 0.2010 x4  6 H 1.86-2.01
Mg 0.0000 0.5000 0.0000 x2  4 H 1.91
Mo 0.0000 0.0000 0.5000 x2  4 H 1.81
H 0.0961 0.2208 0.8243 x8  1 Mo 1.81, 2 Li 1.86-2.01, 1 Mg 1.91
H 0.2500 0.2500 0.5000 x4  2 Li 1.90, 2 Mo 2.11

***

Record 3
Compound: RbCa2
Source: Alexandria
Functional: PBE
Structure: relaxed

Formation energy from the elements   0.19 eV per atom
Calculated total energy   -1.4717 eV per atom

a b c (Å): 11.0326 11.0326 11.0326
angles (deg): 90.00 90.00 90.00
Closest atoms and distances in Å follow each position.
Space group Fd-3m (No. 227, origin choice 2)
Symmetry-distinct sites (fractional):
Rb 0.1250 0.1250 0.1250 x8  12 Ca 4.57, 4 Rb 4.78
Ca 0.0000 0.0000 0.5000 x16  6 Ca 3.90

***

Record 4
Compound: SmSb2Te4
Source: Alexandria
Functional: PBE
Structure: relaxed

Calculated total energy   -4.1245 eV per atom

a b c (Å): 8.2696 8.3167 8.3523
angles (deg): 78.91 69.46 64.12
Closest atoms and distances in Å follow each position.
Space group P1 (No. 1)
Symmetry-distinct sites (fractional):
Sm 0.0000 0.0000 0.0000 x1  6 Te 3.16-3.26, 1 Sb 3.38
Sm 0.1413 0.6111 0.5363 x1  7 Te 3.21-3.44, 1 Sb 3.52
Sb 0.0960 0.5642 0.9763 x1  4 Te 3.01-3.11
Sb 0.3808 0.0586 0.4827 x1  4 Te 2.90-3.07
Sb 0.5838 0.5654 0.0073 x1  3 Te 2.94-2.97
Sb 0.8454 0.0980 0.5095 x1  5 Te 2.95-3.12
Te 0.2883 0.8611 0.2298 x1  1 Sb 2.97, 2 Sm 3.21-3.26
Te 0.3504 0.7480 0.7231 x1  3 Sb 3.00-3.31, 2 Sm 3.16-3.32
Te 0.3617 0.3550 0.1984 x1  3 Sb 2.94-3.09
Te 0.4371 0.2623 0.6891 x1  2 Sb 2.90-2.95
Te 0.7925 0.8493 0.8371 x1  3 Sb 3.01-3.33, 2 Sm 3.22-3.25
Te 0.7936 0.8348 0.3406 x1  2 Sb 3.00-3.07, 1 Sm 3.17
Te 0.8587 0.3610 0.1978 x1  3 Sb 2.95-3.06, 1 Sm 3.26
Te 0.9469 0.3110 0.6988 x1  3 Sb 3.11-3.35, 2 Sm 3.24-3.36

***

Record 5
Compound: PtCl3
Source: Alexandria
Functional: PBE
Structure: relaxed

Calculated total energy   -2.9361 eV per atom

a b c (Å): 3.3716 6.2821 9.8151
angles (deg): 90.00 90.00 90.00
Closest atoms and distances in Å follow each position.
Space group Immm (No. 71)
Symmetry-distinct sites (fractional):
Pt 0.0000 0.0000 0.0000 x2  4 Cl 2.32
Cl 0.0000 0.0000 0.5000 x2  10 Cl 3.37-3.72, 4 Pt 3.56
Cl 0.0000 0.5000 0.3376 x4  2 Pt 2.32

***

Record 6
Compound: PmErScAl
Source: Alexandria
Functional: PBE
Structure: relaxed

Formation energy from the elements   -0.10 eV per atom
Calculated total energy   -4.9487 eV per atom

a b c (Å): 7.4459 7.4459 7.4459
angles (deg): 90.00 90.00 90.00
Closest atoms and distances in Å follow each position.
Space group F-43m (No. 216)
Symmetry-distinct sites (fractional):
Pm 0.0000 0.0000 0.0000 x4  4 Al 3.22, 4 Sc 3.22
Er 0.0000 0.0000 0.5000 x4  4 Sc 3.22, 4 Al 3.22
Sc 0.2500 0.2500 0.7500 x4  4 Er 3.22, 4 Pm 3.22
Al 0.2500 0.2500 0.2500 x4  4 Er 3.22, 4 Pm 3.22

***

Record 7
Compound: Nd2ScAl2Rh5
Source: Alexandria
Functional: PBE
Structure: relaxed

Formation energy from the elements   -0.83 eV per atom
Calculated total energy   -6.8408 eV per atom

a b c (Å): 10.1780 10.1780 3.4855
angles (deg): 90.00 90.00 90.00
Closest atoms and distances in Å follow each position.
Space group P4/mbm (No. 127)
Symmetry-distinct sites (fractional):
Nd 0.1749 0.3251 0.0000 x4  3 Al 2.91-3.08, 10 Rh 3.06-3.24
Sc 0.0000 0.0000 0.0000 x2  8 Rh 2.84
Al 0.1232 0.6232 0.0000 x4  6 Rh 2.49-2.50
Rh 0.0000 0.5000 0.5000 x2  4 Al 2.49
Rh 0.0672 0.7899 0.5000 x8  2 Al 2.50

***

Record 8
Compound: Tl2Pd2Au
Source: Alexandria
Functional: PBE
Structure: relaxed

Formation energy from the elements   0.24 eV per atom
Relative energy among the computed polymorphs   336 meV/atom
Calculated total energy   -3.4366 eV per atom

a b c (Å): 4.2151 4.2151 12.4831
angles (deg): 90.00 90.00 90.00
Closest atoms and distances in Å follow each position.
Space group I4/mmm (No. 139)
Symmetry-distinct sites (fractional):
Tl 0.0000 0.5000 0.2500 x4  4 Pd 2.80, 4 Tl 2.98
Pd 0.0000 0.0000 0.1027 x4  1 Pd 2.56, 4 Tl 2.80
Au 0.0000 0.0000 0.5000 x2  8 Pd 3.24

***

The highest calculated total energy belongs to which entry?
RbCa2